(1)
## NdPuGa (PBE)

Data for a relaxed structure of NdPuGa. Values from VASP.

Values from the calculation:
Symmetry ... F-43m, No. 216
Energy relative to the elements ... -13 meV per atom

```
&SYSTEM
  ibrav = 0, nat = 12, ntyp = 3
/
ATOMIC_SPECIES
Ga 69.72 Ga.upf
Pu 244.00 Pu.upf
Nd 144.24 Nd.upf
CELL_PARAMETERS angstrom
-1.724 -6.720 3.694
5.357 -5.735 0.428
3.407 -1.689 6.879
ATOMIC_POSITIONS angstrom
Ga 6.618 -9.385 7.888
Ga 5.956 -11.967 9.307
Ga 3.898 -9.764 9.143
Ga 4.647 -11.318 6.665
Pu 2.127 -6.221 6.399
Pu 4.869 -5.840 5.135
Pu 2.882 -7.787 3.902
Pu 4.202 -8.442 6.565
Nd 0.044 -5.104 3.215
Nd 3.531 -4.619 1.607
Nd 0.893 -1.795 1.396
Nd 2.571 -2.627 4.783
```



(2)
## Pm2Nd3Th (PBE)

Data for a relaxed structure of Pm2Nd3Th. Values from VASP.

Values from the calculation:
Symmetry ... Imma, No. 74
Energy relative to the elements ... 38 meV per atom

```
&SYSTEM
  ibrav = 0, nat = 12, ntyp = 3
/
ATOMIC_SPECIES
Pm 145.00 Pm.upf
Nd 144.24 Nd.upf
Th 232.04 Th.upf
CELL_PARAMETERS angstrom
-1.843 1.979 -4.395
-7.638 -0.761 5.888
5.673 6.882 3.749
ATOMIC_POSITIONS angstrom
Pm 4.106 6.741 2.828
Pm -4.729 1.668 4.248
Pm -7.914 1.358 2.414
Pm 0.921 6.431 0.994
Nd -3.453 4.892 5.165
Nd -2.199 7.131 2.618
Nd -4.740 0.609 0.747
Nd -0.355 3.207 0.077
Nd 2.836 3.441 1.874
Nd -1.609 0.969 2.624
Th -0.368 4.172 3.547
Th -3.440 3.927 1.695
```



(3)
## KIn2Tc (PBE)

Data for a relaxed structure of KIn2Tc. Values from VASP.

Values from the calculation:
Symmetry ... I-4m2, No. 119
Energy relative to the elements ... 811 meV per atom

```
&SYSTEM
  ibrav = 0, nat = 4, ntyp = 3
/
ATOMIC_SPECIES
In 114.82 In.upf
K 39.10 K.upf
Tc 98.00 Tc.upf
CELL_PARAMETERS angstrom
-3.714 -2.503 3.601
-1.687 -5.256 -1.599
5.073 2.636 0.581
ATOMIC_POSITIONS angstrom
In 0.000 0.000 0.000
In 0.343 -3.249 -0.008
K -2.701 -3.879 1.001
Tc -0.670 -1.873 2.592
```



(4)
## KBaBe4 (PBE)

Data for a relaxed structure of KBaBe4. Values from VASP.

Values from the calculation:
Symmetry ... F-43m, No. 216
Energy relative to the elements ... 782 meV per atom

```
&SYSTEM
  ibrav = 0, nat = 6, ntyp = 3
/
ATOMIC_SPECIES
K 39.10 K.upf
Ba 137.33 Ba.upf
Be 9.01 Be.upf
CELL_PARAMETERS angstrom
0.000 4.053 4.053
4.053 0.000 4.053
4.053 4.053 0.000
ATOMIC_POSITIONS angstrom
K 6.080 6.080 6.080
Ba 0.000 0.000 0.000
Be 3.291 4.816 4.816
Be 4.816 4.816 3.291
Be 4.816 3.291 4.816
Be 3.291 3.291 3.291
```



(5)
## MgMnOs (PBE)

Data for a relaxed structure of MgMnOs. Values from VASP.

Values from the calculation:
Symmetry ... P3m1, No. 156
Energy relative to the elements ... 262 meV per atom

```
&SYSTEM
  ibrav = 0, nat = 3, ntyp = 3
/
ATOMIC_SPECIES
Mg 24.30 Mg.upf
Mn 54.94 Mn.upf
Os 190.23 Os.upf
CELL_PARAMETERS angstrom
4.364 0.000 0.000
-2.182 3.779 0.000
0.000 0.000 2.682
ATOMIC_POSITIONS angstrom
Mg 0.000 0.000 0.038
Mn 2.182 1.260 1.037
Os 0.000 2.519 1.607
```



(6)
## RbPmSn2 (PBE)

Data for a relaxed structure of RbPmSn2. Values from VASP.

Values from the calculation:
Symmetry ... P4/mmm, No. 123
Energy relative to the elements ... -427 meV per atom

```
&SYSTEM
  ibrav = 0, nat = 4, ntyp = 3
/
ATOMIC_SPECIES
Sn 118.71 Sn.upf
Rb 85.47 Rb.upf
Pm 145.00 Pm.upf
CELL_PARAMETERS angstrom
4.203 0.000 0.000
0.000 4.203 0.000
0.000 0.000 8.152
ATOMIC_POSITIONS angstrom
Sn 0.000 0.000 6.694
Sn 0.000 0.000 1.458
Rb 2.101 2.101 4.076
Pm 2.101 2.101 0.000
```



(7)
## PrTm2Mg (PBE)

Data for a relaxed structure of PrTm2Mg. Values from VASP.

Values from the calculation:
Symmetry ... I4/mmm, No. 139
Energy relative to the elements ... -25 meV per atom

```
&SYSTEM
  ibrav = 0, nat = 8, ntyp = 3
/
ATOMIC_SPECIES
Pr 140.91 Pr.upf
Tm 168.93 Tm.upf
Mg 24.30 Mg.upf
CELL_PARAMETERS angstrom
4.923 0.015 -1.367
-0.395 4.907 -1.367
0.090 0.098 9.878
ATOMIC_POSITIONS angstrom
Pr 1.707 1.855 1.392
Pr 2.912 3.165 5.752
Tm 3.946 4.289 -0.066
Tm 0.673 0.731 7.210
Tm 2.507 0.057 4.256
Tm -0.152 2.503 4.256
Mg 0.935 3.684 -1.367
Mg 3.593 1.239 -1.367
```



(8)
## SrLa2Cl (PBE)

Data for a relaxed structure of SrLa2Cl. Values from VASP.

Values from the calculation:
DFT total energy ... -14.45 eV per formula unit
Symmetry ... Cmmm, No. 65

```
&SYSTEM
  ibrav = 0, nat = 4, ntyp = 3
/
ATOMIC_SPECIES
Cl 35.45 Cl.upf
La 138.91 La.upf
Sr 87.62 Sr.upf
CELL_PARAMETERS angstrom
-2.233 0.378 6.793
-3.820 -1.518 -5.864
0.771 -3.720 0.460
ATOMIC_POSITIONS angstrom
Cl -1.524 -2.619 -2.702
La 0.000 0.000 0.000
La -3.027 -0.570 0.465
Sr -0.731 -1.671 3.627
```



no.,spin magnetization (Bohr magnetons per cell)
1,26.2
2,0.0
3,1.2
4,0.0
5,2.9
6,0.0
7,0.0
8,0.0